1.
Compound: Cs2BaGe2S6
Source: Alexandria via LeMat-Bulk
Functional: PBE
Structure: optimized geometry

abc: 7.4876 7.5091 9.3461
angles: 112.88 90.00 119.91
With the nearest neighbours (Å) after each atom.
Atoms (fractional coordinates):
S 0.7682 0.5365 0.6343  1 Ge 2.12
S 0.1983 0.9084 0.2070  1 Ge 2.14
S 0.2318 0.4635 0.3657  1 Ge 2.12
Cs 0.6997 0.3993 0.1858  9 S 3.71-4.05
Ge 0.0496 0.0993 0.2622  3 S 2.12-2.14
S 0.2900 0.0916 0.7930  1 Ge 2.14
Ge 0.9504 0.9007 0.7378  3 S 2.12-2.14
S 0.8017 0.0916 0.7930  1 Ge 2.14
Ba 0.5000 0.0000 0.5000  6 S 3.14-3.17
Cs 0.3003 0.6007 0.8142  9 S 3.71-4.05
S 0.7100 0.9084 0.2070  1 Ge 2.14

Total moment = 0.0 Bohr magnetons per cell
SG = No. 12
E_form (uncorrected) = -0.936 eV/atom



2.
Compound: CsBa2SrGe
Source: Alexandria via LeMat-Bulk
Functional: PBE
Structure: optimized geometry

abc: 6.7427 6.7427 6.3934
angles: 90.00 90.00 90.00
With the nearest neighbours (Å) after each atom.
Atoms (fractional coordinates):
Ba 0.0000 0.5000 0.0000  2 Ge 3.37
Cs 0.5000 0.5000 0.5000  8 Ba 4.65, 4 Sr 4.77
Ba 0.5000 0.0000 0.0000  2 Ge 3.37
Ge 0.0000 0.0000 0.0000  2 Sr 3.20, 4 Ba 3.37
Sr 0.0000 0.0000 0.5000  2 Ge 3.20

Energy of formation from the pure elements = -0.1475 eV per atom
Total moment = 0.3 Bohr magnetons per cell
SG = No. 123



3.
Compound: CsBa2TaGe
Source: Alexandria via LeMat-Bulk
Functional: PBE
Structure: optimized geometry

abc: 6.3114 5.5726 6.3114
angles: 90.00 90.00 90.00
With the nearest neighbours (Å) after each atom.
Atoms (fractional coordinates):
Cs 0.0000 0.0000 0.0000  2 Ge 2.79
Ge 0.0000 0.5000 0.0000  2 Cs 2.79
Ba 0.0000 0.0000 0.5000  2 Cs 3.16
Ba 0.5000 0.0000 0.0000  2 Cs 3.16
Ta 0.5000 0.5000 0.5000  8 Ba 4.21, 4 Ge 4.46

Energy of formation from the pure elements = 1.9268 eV per atom
Total moment = 0.0 Bohr magnetons per cell
SG = No. 123



4.
Compound: CsBaH2
Source: Alexandria via LeMat-Bulk
Functional: PBE
Structure: optimized geometry

abc: 5.1314 5.1314 5.1314
angles: 60.00 60.00 60.00
With the nearest neighbours (Å) after each atom.
Atoms (fractional coordinates):
Ba 0.5000 0.5000 0.5000  8 H 3.14
Cs 0.0000 0.0000 0.0000  8 H 3.14
H 0.2500 0.2500 0.2500  4 Ba 3.14, 4 Cs 3.14
H 0.7500 0.7500 0.7500  4 Ba 3.14, 4 Cs 3.14

Total moment = 0.0 Bohr magnetons per cell
SG = No. 225
VASP energy = -9.13 eV per formula unit



5.
Compound: Cs5Ba3H12
Source: Alexandria via LeMat-Bulk
Functional: PBE
Structure: optimized geometry

abc: 14.1148 14.1148 14.1148
angles: 109.47 109.47 109.47
With the nearest neighbours (Å) after each atom.
Atoms (fractional coordinates):
Cs 0.7500 0.6250 0.3750  4 H 2.77
H 0.3513 0.9232 0.7529  1 H 2.63, 1 Ba 2.71, 1 Cs 2.77
Cs 0.5000 0.0000 0.5000  6 H 2.97
Cs 0.5000 0.0000 0.0000  6 H 2.97
H 0.5719 0.9232 0.6704  1 H 2.63, 1 Ba 2.71, 1 Cs 2.77
H 0.4232 0.7529 0.8513  1 H 2.63, 1 Ba 2.71, 1 Cs 2.77
H 0.4281 0.3513 0.5984  1 H 2.63, 1 Ba 2.71, 1 Cs 2.77
H 0.2529 0.8513 0.9232  1 H 2.63, 1 Ba 2.71, 1 Cs 2.77
H 0.9232 0.3513 0.2529  1 H 2.63, 1 Ba 2.71, 1 Cs 2.77
H 0.3296 0.7529 0.4016  1 H 2.63, 1 Ba 2.71, 1 Cs 2.77
Cs 0.0000 0.5000 0.5000  6 H 2.97
Cs 0.2500 0.3750 0.6250  4 H 2.77
H 0.7529 0.4232 0.3513  1 H 2.63, 1 Ba 2.71, 1 Cs 2.77
Ba 0.1250 0.2500 0.8750  8 H 2.71-3.02
Ba 0.7500 0.3750 0.1250  8 H 2.71-3.02
H 0.1487 0.4016 0.0719  1 H 2.63, 1 Ba 2.71, 1 Cs 2.77
Cs 0.3750 0.1250 0.7500  4 H 2.77
H 0.9281 0.8296 0.5768  1 H 2.63, 1 Ba 2.71, 1 Cs 2.77
Cs 0.0000 0.0000 0.5000  6 H 2.97
H 0.1704 0.0719 0.9232  1 H 2.63, 1 Ba 2.71, 1 Cs 2.77
H 0.4281 0.0768 0.3296  1 H 2.63, 1 Ba 2.71, 1 Cs 2.77
H 0.4016 0.1487 0.5719  1 H 2.63, 1 Ba 2.71, 1 Cs 2.77
H 0.9281 0.0984 0.8513  1 H 2.63, 1 Ba 2.71, 1 Cs 2.77
H 0.2471 0.5768 0.6487  1 H 2.63, 1 Ba 2.71, 1 Cs 2.77
H 0.7471 0.1487 0.0768  1 H 2.63, 1 Ba 2.71, 1 Cs 2.77
H 0.1704 0.0984 0.7471  1 H 2.63, 1 Ba 2.71, 1 Cs 2.77
Cs 0.1250 0.7500 0.3750  4 H 2.77
H 0.5768 0.3296 0.9281  1 H 2.63, 1 Ba 2.71, 1 Cs 2.77
H 0.3296 0.5768 0.4281  1 H 2.63, 1 Ba 2.71, 1 Cs 2.77
H 0.3513 0.4281 0.0984  1 H 2.63, 1 Ba 2.71, 1 Cs 2.77
H 0.1487 0.7471 0.5768  1 H 2.63, 1 Ba 2.71, 1 Cs 2.77
H 0.6704 0.4232 0.5719  1 H 2.63, 1 Ba 2.71, 1 Cs 2.77
Ba 0.6250 0.2500 0.3750  8 H 2.71-3.02
H 0.2529 0.4016 0.8296  1 H 2.63, 1 Ba 2.71, 1 Cs 2.77
Ba 0.7500 0.8750 0.6250  8 H 2.71-3.02
Cs 0.3750 0.2500 0.1250  4 H 2.77
H 0.0984 0.1704 0.2471  1 H 2.63, 1 Ba 2.71, 1 Cs 2.77
H 0.8513 0.2529 0.4232  1 H 2.63, 1 Ba 2.71, 1 Cs 2.77
H 0.5984 0.8513 0.4281  1 H 2.63, 1 Ba 2.71, 1 Cs 2.77
Ba 0.1250 0.8750 0.7500  8 H 2.71-3.02
H 0.8296 0.9281 0.0768  1 H 2.63, 1 Ba 2.71, 1 Cs 2.77
Cs 0.5000 0.5000 0.0000  6 H 2.97
H 0.0768 0.6487 0.7471  1 H 2.63, 1 Ba 2.71, 1 Cs 2.77
H 0.0984 0.9281 0.3513  1 H 2.63, 1 Ba 2.71, 1 Cs 2.77
Ba 0.3750 0.6250 0.2500  8 H 2.71-3.02
H 0.0719 0.1704 0.4232  1 H 2.63, 1 Ba 2.71, 1 Cs 2.77
Ba 0.3750 0.7500 0.6250  8 H 2.71-3.02
Cs 0.2500 0.8750 0.1250  4 H 2.77
H 0.0719 0.9016 0.1487  1 H 2.63, 1 Ba 2.71, 1 Cs 2.77
Ba 0.2500 0.6250 0.8750  8 H 2.71-3.02
H 0.6704 0.2471 0.5984  1 H 2.63, 1 Ba 2.71, 1 Cs 2.77
H 0.9016 0.8296 0.7529  1 H 2.63, 1 Ba 2.71, 1 Cs 2.77
Cs 0.5000 0.5000 0.5000  6 H 2.97
Cs 0.8750 0.2500 0.6250  4 H 2.77
Cs 0.1250 0.3750 0.2500  4 H 2.77
H 0.7529 0.3296 0.9016  1 H 2.63, 1 Ba 2.71, 1 Cs 2.77
H 0.8513 0.5984 0.9281  1 H 2.63, 1 Ba 2.71, 1 Cs 2.77
Cs 0.0000 0.0000 0.0000  6 H 2.97
H 0.9016 0.0719 0.6487  1 H 2.63, 1 Ba 2.71, 1 Cs 2.77
H 0.4232 0.6704 0.0719  1 H 2.63, 1 Ba 2.71, 1 Cs 2.77
H 0.8296 0.9016 0.2529  1 H 2.63, 1 Ba 2.71, 1 Cs 2.77
Cs 0.6250 0.7500 0.8750  4 H 2.77
H 0.6487 0.5719 0.9016  1 H 2.63, 1 Ba 2.71, 1 Cs 2.77
H 0.5768 0.2471 0.1487  1 H 2.63, 1 Ba 2.71, 1 Cs 2.77
Ba 0.8750 0.7500 0.1250  8 H 2.71-3.02
H 0.7471 0.5984 0.1704  1 H 2.63, 1 Ba 2.71, 1 Cs 2.77
Cs 0.7500 0.1250 0.8750  4 H 2.77
Ba 0.2500 0.1250 0.3750  8 H 2.71-3.02
H 0.2471 0.6704 0.0984  1 H 2.63, 1 Ba 2.71, 1 Cs 2.77
H 0.4016 0.2529 0.3296  1 H 2.63, 1 Ba 2.71, 1 Cs 2.77
H 0.5984 0.7471 0.6704  1 H 2.63, 1 Ba 2.71, 1 Cs 2.77
Ba 0.6250 0.3750 0.7500  8 H 2.71-3.02
H 0.0768 0.4281 0.8296  1 H 2.63, 1 Ba 2.71, 1 Cs 2.77
H 0.5719 0.6487 0.4016  1 H 2.63, 1 Ba 2.71, 1 Cs 2.77
Cs 0.0000 0.5000 0.0000  6 H 2.97
Cs 0.8750 0.6250 0.7500  4 H 2.77
H 0.6487 0.0768 0.2471  1 H 2.63, 1 Ba 2.71, 1 Cs 2.77
Ba 0.8750 0.1250 0.2500  8 H 2.71-3.02
Cs 0.6250 0.8750 0.2500  4 H 2.77
H 0.9232 0.5719 0.1704  1 H 2.63, 1 Ba 2.71, 1 Cs 2.77

Total moment = 2.9 Bohr magnetons per cell
SG = No. 230
VASP energy = -51.84 eV per formula unit



6.
Compound: CsBaH3
Source: Alexandria via LeMat-Bulk
Functional: PBE
Structure: optimized geometry

abc: 4.8260 4.8260 11.0057
angles: 90.00 90.00 120.00
With the nearest neighbours (Å) after each atom.
Atoms (fractional coordinates):
H 0.6667 0.3333 0.9475  3 Ba 2.85, 3 H 3.02
H 0.0000 0.0000 0.2500  2 Ba 2.75, 3 Cs 2.79
Ba 0.0000 0.0000 0.0000  8 H 2.75-2.85
Cs 0.3333 0.6667 0.7500  3 H 2.79
H 0.3333 0.6667 0.4475  3 Ba 2.85, 3 H 3.02
H 0.6667 0.3333 0.5525  3 Ba 2.85, 3 H 3.02
H 0.3333 0.6667 0.0525  3 Ba 2.85, 3 H 3.02
H 0.0000 0.0000 0.7500  2 Ba 2.75, 3 Cs 2.79
Cs 0.6667 0.3333 0.2500  3 H 2.79
Ba 0.0000 0.0000 0.5000  8 H 2.75-2.85

Total moment = 0.0 Bohr magnetons per cell
SG = No. 194
VASP energy = -14.26 eV per formula unit



> Number 2 is which compound?

CsBa2SrGe



Copy entry 3 word for word.
Compound: CsBa2TaGe
Source: Alexandria via LeMat-Bulk
Functional: PBE
Structure: optimized geometry

abc: 6.3114 5.5726 6.3114
angles: 90.00 90.00 90.00
With the nearest neighbours (Å) after each atom.
Atoms (fractional coordinates):
Cs 0.0000 0.0000 0.0000  2 Ge 2.79
Ge 0.0000 0.5000 0.0000  2 Cs 2.79
Ba 0.0000 0.0000 0.5000  2 Cs 3.16
Ba 0.5000 0.0000 0.0000  2 Cs 3.16
Ta 0.5000 0.5000 0.5000  8 Ba 4.21, 4 Ge 4.46

Energy of formation from the pure elements = 1.9268 eV per atom
Total moment = 0.0 Bohr magnetons per cell
SG = No. 123



> The highest total moment belongs to which entry?

Cs5Ba3H12